Record 1
Compound: CsRbBeO2
Source: Alexandria
Functional: PBE
Structure: optimized geometry

Output
Energy above the lowest structure with this stoichiometry = 0 meV per atom
Formation energy (no corrections) = -1684 meV/atom

```
data_CsRbBeO2
_cell_length_a 6.1138
_cell_length_b 5.8085
_cell_length_c 7.9146
_cell_angle_alpha 90.00
_cell_angle_beta 90.67
_cell_angle_gamma 90.00
_space_group_name_H-M_alt 'P 1 2/c 1'
_space_group_IT_number 13
_space_group_name_Hall '-P 2yc'
loop_
_atom_site_label
_atom_site_type_symbol
_atom_site_fract_x
_atom_site_fract_y
_atom_site_fract_z
Cs1 Cs 0.0000 0.0093 0.2500
Rb1 Rb 0.5000 0.4982 0.7500
Be1 Be 0.5000 0.0000 0.0000
O1 O 0.3370 0.1787 0.9989
```

Record 2
Compound: CsBeRe2O8
Source: Alexandria
Functional: PBE
Structure: optimized geometry

Output
Formation energy (no corrections) = -1717 meV/atom

```
data_CsBeRe2O8
_cell_length_a 5.4307
_cell_length_b 5.4307
_cell_length_c 8.5789
_cell_angle_alpha 90.00
_cell_angle_beta 90.00
_cell_angle_gamma 120.00
_space_group_name_H-M_alt 'P -3'
_space_group_IT_number 147
_space_group_name_Hall '-P 3'
loop_
_atom_site_label
_atom_site_type_symbol
_atom_site_fract_x
_atom_site_fract_y
_atom_site_fract_z
Cs1 Cs 0.0000 0.0000 0.0000
Be1 Be 0.0000 0.0000 0.5000
Re1 Re 0.3333 0.6667 0.6894
O1 O 0.1014 0.3121 0.6262
O2 O 0.3333 0.6667 0.8959
```

Record 3
Compound: CsScBeO3
Source: Alexandria
Functional: PBE
Structure: optimized geometry

Output
Formation energy (no corrections) = -2641 meV/atom

```
data_CsScBeO3
_cell_length_a 7.8812
_cell_length_b 3.2731
_cell_length_c 7.9498
_cell_angle_alpha 90.00
_cell_angle_beta 115.07
_cell_angle_gamma 90.00
_space_group_name_H-M_alt 'P 1 21/m 1'
_space_group_IT_number 11
_space_group_name_Hall '-P 2yb'
loop_
_atom_site_label
_atom_site_type_symbol
_atom_site_fract_x
_atom_site_fract_y
_atom_site_fract_z
Cs1 Cs 0.2497 0.2500 0.2245
Sc1 Sc 0.1459 0.2500 0.6650
Be1 Be 0.3920 0.7500 0.9283
O1 O 0.1419 0.7500 0.4883
O2 O 0.1723 0.7500 0.8525
O3 O 0.4485 0.2500 0.8613
```